# 1
VASP calculation (PBE) on a relaxed structure of Tb2ErNi2.

Unit cell a=11.348 b=3.801 c=5.583 alpha=90.00 beta=106.97 gamma=90.00
Space group C2/m (No. 12)
Unique sites:
1 Tb 0.153 0.000 0.108 [4 per cell]
2 Er 0.000 0.500 0.500 [2 per cell]
3 Ni 0.196 0.000 0.623 [4 per cell]

Results
energy of formation = -228.7 meV/atom
E above lowest polymorph = 99 meV/atom
calculated total energy = -53.1 eV per cell
total moment = 0.00 μB/f.u.

=====

# 2
VASP calculation (PBE) on a relaxed structure of RhC3.

Unit cell a=5.117 b=5.345 c=6.211 alpha=90.00 beta=90.00 gamma=90.00
Space group Pnma (No. 62)
Unique sites:
1 Rh 0.150 0.250 0.057 [4 per cell]
2 C 0.063 0.250 0.386 [4 per cell]
3 C 0.249 0.619 0.023 [8 per cell]

Results
energy of formation = 1246.7 meV/atom
E above lowest polymorph = 679 meV/atom
calculated total energy = -120.1 eV per cell
total moment = 0.00 μB/f.u.

=====

# 3
VASP calculation (PBE) on a relaxed structure of PuAlSb.

Unit cell a=4.7953 b=4.7953 c=3.5474 alpha=90.00 beta=90.00 gamma=120.00
Space group P-6m2 (No. 187)
Unique sites:
1 Pu 0.0000 0.0000 0.0000 [1 per cell]
2 Al 0.3333 0.6667 0.5000 [1 per cell]
3 Sb 0.6667 0.3333 0.5000 [1 per cell]

Results
E_form (uncorrected) = -0.255 eV/atom
calculated total energy = -23.0 eV per cell
total moment = 5.83 μB/f.u.

=====

# 4
VASP calculation (PBE) on a relaxed structure of Tl2VBr6.

Unit cell a=12.673 b=7.338 c=6.437 alpha=90.00 beta=91.00 gamma=90.00
Space group C2/m (No. 12)
Unique sites:
1 Tl 0.169 0.000 0.164 [4 per cell]
2 V 0.000 0.500 0.000 [2 per cell]
3 Br 0.079 0.260 0.777 [8 per cell]
4 Br 0.161 0.500 0.227 [4 per cell]

Results
E above lowest polymorph = 22 meV/atom
E_form (uncorrected) = -0.792 eV/atom
calculated total energy = -62.0 eV per cell
total moment = 1.00 μB/f.u.